The following is a PBE calculation of crystalline B10Pb6O21 at its relaxed geometry, from the Alexandria database.

abc: 6.945 7.117 11.533
angles: 83.51 77.61 61.17
Positions (direct):
B1 0.217 0.873 0.944
B2 0.783 0.127 0.056
B3 0.531 0.675 0.574
B4 0.469 0.325 0.426
B5 0.723 0.184 0.753
B6 0.277 0.816 0.247
B7 0.832 0.472 0.699
B8 0.168 0.528 0.301
B9 0.445 0.575 0.793
B10 0.555 0.425 0.207
Pb1 0.759 0.747 0.926
Pb2 0.241 0.253 0.074
Pb3 0.042 0.761 0.589
Pb4 0.958 0.239 0.411
Pb5 0.343 0.154 0.698
Pb6 0.657 0.846 0.302
O1 0.767 0.974 0.757
O2 0.887 0.240 0.702
O3 0.971 0.511 0.292
O4 0.029 0.489 0.708
O5 0.243 0.426 0.418
O6 0.113 0.760 0.298
O7 0.547 0.221 0.525
O8 0.453 0.779 0.475
O9 0.626 0.329 0.326
O10 0.374 0.671 0.674
O11 0.352 0.416 0.204
O12 0.648 0.584 0.796
O13 0.740 0.310 0.112
O14 0.260 0.690 0.888
O15 0.629 0.061 0.054
O16 0.371 0.939 0.946
O17 0.000 0.000 0.000
O18 0.501 0.340 0.794
O19 0.499 0.660 0.206
O20 0.757 0.574 0.582
O21 0.233 0.026 0.243

Output
- Symmetry: P-1 (2)
- Density of states at the Fermi level: 0.000 states/eV/cell
- Size of the total moment: 0.0 μB/f.u.
- Uncorrected formation energy: -2.06 eV per atom

The following is a PBE calculation of crystalline B2Pb3O8 at its relaxed geometry, from the Alexandria database.

abc: 5.230 5.230 7.551
angles: 69.74 69.74 60.00
Positions (direct):
B1 0.611 0.611 0.168
B2 0.389 0.389 0.832
Pb1 0.000 0.000 0.000
Pb2 0.785 0.785 0.644
Pb3 0.215 0.215 0.356
O1 0.680 0.680 0.961
O2 0.320 0.320 0.039
O3 0.277 0.743 0.237
O4 0.743 0.277 0.237
O5 0.743 0.743 0.237
O6 0.257 0.723 0.763
O7 0.723 0.257 0.763
O8 0.257 0.257 0.763

Output
- Symmetry: R-3m (166)
- Density of states at the Fermi level: 11.568 states/eV/cell
- Size of the total moment: 2.0 μB/f.u.
- Uncorrected formation energy: -1.26 eV per atom

The following is a PBE calculation of crystalline B2PbO at its relaxed geometry, from the Alexandria database.

abc: 4.213 4.213 4.213
angles: 60.00 60.00 60.00
Positions (direct):
Pb1 0.500 0.500 0.500
B1 0.250 0.250 0.250
B2 0.750 0.750 0.750
O1 0.000 0.000 0.000

Output
- Symmetry: Fm-3m (225)
- Density of states at the Fermi level: 2.148 states/eV/cell
- Size of the total moment: 0.0 μB/f.u.
- Excess energy over the best structure of this formula in the dataset: 1366 meV per atom
- Uncorrected formation energy: 1.83 eV per atom

The following is a PBE calculation of crystalline B2PbO4 at its relaxed geometry, from the Alexandria database.

abc: 4.079 4.881 8.925
angles: 90.00 90.00 114.70
Positions (direct):
Pb1 0.500 0.000 0.750
Pb2 0.500 0.000 0.250
B1 0.755 0.510 0.000
B2 0.245 0.490 0.000
B3 0.755 0.510 0.500
B4 0.245 0.490 0.500
O1 0.382 0.254 0.000
O2 0.618 0.746 0.000
O3 0.871 0.254 0.500
O4 0.129 0.746 0.500
O5 0.500 0.500 0.623
O6 0.000 0.500 0.877
O7 0.500 0.500 0.377
O8 0.000 0.500 0.123

Output
- Symmetry: Cccm (66)
- Density of states at the Fermi level: 0.000 states/eV/cell
- Size of the total moment: 0.0 μB/f.u.
- Excess energy over the best structure of this formula in the dataset: 15 meV per atom
- Uncorrected formation energy: -2.00 eV per atom

The following is a PBE calculation of crystalline B2PbO4 at its relaxed geometry, from the Alexandria database.

abc: 4.628 4.627 8.707
angles: 104.86 104.87 91.81
Positions (direct):
B1 0.856 0.230 0.701
B2 0.528 0.155 0.299
B3 0.480 0.607 0.201
B4 0.405 0.278 0.799
Pb1 0.210 0.711 0.500
Pb2 0.961 0.959 0.000
O1 0.662 0.419 0.278
O2 0.189 0.534 0.120
O3 0.140 0.384 0.722
O4 0.784 0.939 0.620
O5 0.318 0.164 0.380
O6 0.414 0.068 0.880
O7 0.668 0.412 0.778
O8 0.634 0.891 0.222

Output
- Symmetry: P1 (1)
- Density of states at the Fermi level: 0.000 states/eV/cell
- Size of the total moment: 0.0 μB/f.u.
- Excess energy over the best structure of this formula in the dataset: 0 meV per atom
- Uncorrected formation energy: -2.02 eV per atom

The following is a PBE calculation of crystalline BPbO2 at its relaxed geometry, from the Alexandria database.

abc: 6.635 7.672 7.748
angles: 129.01 90.00 90.00
Positions (direct):
B1 0.756 0.156 0.847
B2 0.256 0.344 0.653
B3 0.244 0.844 0.153
B4 0.744 0.656 0.347
Pb1 0.259 0.100 0.896
Pb2 0.241 0.600 0.396
Pb3 0.741 0.900 0.104
Pb4 0.759 0.400 0.604
O1 0.381 0.277 0.724
O2 0.366 0.913 0.080
O3 0.881 0.223 0.776
O4 0.619 0.723 0.276
O5 0.634 0.087 0.920
O6 0.866 0.587 0.420
O7 0.134 0.413 0.580
O8 0.119 0.777 0.224

Output
- Symmetry: P2_1/c (14)
- Density of states at the Fermi level: 3.468 states/eV/cell
- Size of the total moment: 0.0 μB/f.u.
- Excess energy over the best structure of this formula in the dataset: 0 meV per atom
- Uncorrected formation energy: -1.47 eV per atom

The following is a PBE calculation of crystalline B2Pb4O7 at its relaxed geometry, from the Alexandria database.

abc: 7.588 7.588 15.677
angles: 90.00 90.00 94.55
Positions (direct):
B1 0.607 0.365 0.754
B2 0.365 0.607 0.246
B3 0.107 0.865 0.746
B4 0.865 0.107 0.254
B5 0.600 0.375 0.009
B6 0.375 0.600 0.991
B7 0.100 0.875 0.491
B8 0.875 0.100 0.509
Pb1 0.767 0.683 0.881
Pb2 0.683 0.767 0.119
Pb3 0.267 0.183 0.619
Pb4 0.183 0.267 0.381
Pb5 0.420 0.030 0.874
Pb6 0.030 0.420 0.126
Pb7 0.920 0.530 0.626
Pb8 0.530 0.920 0.374
Pb9 0.769 0.025 0.698
Pb10 0.025 0.769 0.302
Pb11 0.269 0.525 0.802
Pb12 0.525 0.269 0.198
Pb13 0.897 0.148 0.921
Pb14 0.148 0.897 0.079
Pb15 0.397 0.648 0.579
Pb16 0.648 0.397 0.421
O1 0.470 0.232 0.756
O2 0.232 0.470 0.244
O3 0.970 0.732 0.744
O4 0.732 0.970 0.256
O5 0.706 0.966 0.840
O6 0.966 0.706 0.160
O7 0.206 0.466 0.660
O8 0.466 0.206 0.340
O9 0.478 0.724 0.946
O10 0.724 0.478 0.054
O11 0.978 0.224 0.554
O12 0.224 0.978 0.446
O13 0.779 0.325 0.737
O14 0.325 0.779 0.263
O15 0.279 0.825 0.763
O16 0.825 0.279 0.237
O17 0.068 0.040 0.733
O18 0.040 0.068 0.267
O19 0.568 0.540 0.767
O20 0.540 0.568 0.233
O21 0.904 0.904 0.000
O22 0.404 0.404 0.500
O23 0.632 0.216 0.972
O24 0.216 0.632 0.028
O25 0.132 0.716 0.528
O26 0.716 0.132 0.472
O27 0.426 0.426 0.000
O28 0.926 0.926 0.500

Output
- Symmetry: Aea2 (41)
- Density of states at the Fermi level: 0.000 states/eV/cell
- Size of the total moment: 0.0 μB/f.u.
- Uncorrected formation energy: -1.67 eV per atom

The following is a PBE calculation of crystalline BPb2O at its relaxed geometry, from the Alexandria database.

abc: 4.619 4.619 4.619
angles: 60.00 60.00 60.00
Positions (direct):
Pb1 0.250 0.250 0.250
Pb2 0.750 0.750 0.750
B1 0.000 0.000 0.000
O1 0.500 0.500 0.500

Output
- Symmetry: Fm-3m (225)
- Density of states at the Fermi level: 3.011 states/eV/cell
- Size of the total moment: 0.0 μB/f.u.
- Excess energy over the best structure of this formula in the dataset: 433 meV per atom
- Uncorrected formation energy: 0.63 eV per atom

The following is a PBE calculation of crystalline BPbO2 at its relaxed geometry, from the Alexandria database.

abc: 6.951 6.951 6.951
angles: 27.58 27.58 27.58
Positions (direct):
Pb1 0.500 0.500 0.500
B1 0.000 0.000 0.000
O1 0.937 0.937 0.937
O2 0.063 0.063 0.063

Output
- Symmetry: R-3m (166)
- Density of states at the Fermi level: 0.369 states/eV/cell
- Size of the total moment: 0.0 μB/f.u.
- Excess energy over the best structure of this formula in the dataset: 34 meV per atom
- Uncorrected formation energy: -1.44 eV per atom

The following is a PBE calculation of crystalline B2PdPb2O6 at its relaxed geometry, from the Alexandria database.

abc: 5.307 5.307 6.599
angles: 66.29 66.29 60.00
Positions (direct):
B1 0.417 0.417 0.748
B2 0.583 0.583 0.252
Pd1 0.000 0.000 0.000
Pb1 0.786 0.786 0.641
Pb2 0.214 0.214 0.359
O1 0.732 0.732 0.260
O2 0.277 0.732 0.260
O3 0.732 0.277 0.260
O4 0.268 0.723 0.740
O5 0.723 0.268 0.740
O6 0.268 0.268 0.740

Output
- Symmetry: R-3m (166)
- Density of states at the Fermi level: 1.208 states/eV/cell
- Size of the total moment: 2.0 μB/f.u.
- Uncorrected formation energy: -1.44 eV per atom

The following is a PBE calculation of crystalline PmBPbO5 at its relaxed geometry, from the Alexandria database.

abc: 5.571 5.571 7.106
angles: 100.92 100.92 107.69
Positions (direct):
Pm1 0.364 0.636 0.250
Pm2 0.636 0.364 0.750
B1 0.691 0.309 0.250
B2 0.309 0.691 0.750
Pb1 0.000 0.000 0.500
Pb2 0.000 0.000 0.000
O1 0.111 0.889 0.250
O2 0.889 0.111 0.750
O3 0.912 0.341 0.152
O4 0.088 0.659 0.848
O5 0.659 0.088 0.348
O6 0.341 0.912 0.652
O7 0.729 0.555 0.412
O8 0.271 0.445 0.588
O9 0.445 0.271 0.088
O10 0.555 0.729 0.912

Output
- Symmetry: C2/c (15)
- Size of the total moment: 0.0 μB/f.u.
- Uncorrected formation energy: -2.06 eV per atom

The following is a PBE calculation of crystalline Pm3B4PbO12 at its relaxed geometry, from the Alexandria database.

abc: 6.700 6.700 6.700
angles: 102.07 102.07 102.07
Positions (direct):
Pm1 0.531 0.469 0.000
Pm2 0.469 0.000 0.531
Pm3 0.000 0.531 0.469
B1 0.971 0.029 0.500
B2 0.029 0.500 0.971
B3 0.500 0.971 0.029
B4 0.500 0.500 0.500
Pb1 0.000 0.000 0.000
O1 0.500 0.367 0.633
O2 0.897 0.500 0.103
O3 0.103 0.897 0.500
O4 0.500 0.103 0.897
O5 0.369 0.972 0.165
O6 0.165 0.369 0.972
O7 0.972 0.165 0.369
O8 0.631 0.835 0.028
O9 0.028 0.631 0.835
O10 0.835 0.028 0.631
O11 0.633 0.500 0.367
O12 0.367 0.633 0.500

Output
- Symmetry: R32 (155)
- Density of states at the Fermi level: 4.961 states/eV/cell
- Size of the total moment: 0.0 μB/f.u.
- Uncorrected formation energy: -2.67 eV per atom